[1]
Below is crystalline AcScPt2 at its relaxed geometry, with properties calculated at the GGA-PBE level.

a b c (Å): 5.0569 5.0569 5.0569
angles (deg): 60.00 60.00 60.00
Element x y z (fractional)
Ac  0.0000  0.0000  0.0000
Pt  0.2500  0.2500  0.2500
Pt  0.7500  0.7500  0.7500
Sc  0.5000  0.5000  0.5000

D(E_F): 4.197 states/eV per cell
Space-group type: No. 225
ΔE_f: -0.91 eV/atom
Size of the total moment: 0.00 μB/f.u.



[2]
Below is crystalline AcScPt3 at its relaxed geometry, with properties calculated at the GGA-PBE level.

a b c (Å): 4.3235 3.8886 13.4783
angles (deg): 98.29 90.00 90.00
Element x y z (fractional)
Sc  0.7500  0.2099  0.4199
Sc  0.2500  0.7901  0.5801
Ac  0.2500  0.0776  0.1552
Ac  0.7500  0.9224  0.8448
Pt  0.2500  0.3672  0.7343
Pt  0.7500  0.5317  0.0635
Pt  0.2500  0.4683  0.9365
Pt  0.7500  0.6328  0.2657
Pt  0.7500  0.3065  0.6130
Pt  0.2500  0.6935  0.3870

D(E_F): 6.563 states/eV per cell
Space-group type: No. 63
ΔE_f: -1.08 eV/atom
Size of the total moment: 0.00 μB/f.u.



[3]
Below is crystalline AcScPt at its relaxed geometry, with properties calculated at the GGA-PBE level.

a b c (Å): 5.0150 4.4650 4.4650
angles (deg): 120.00 90.00 90.00
Element x y z (fractional)
Ac  0.7018  0.6667  0.3333
Pt  0.1001  0.0000  0.0000
Sc  0.1981  0.3333  0.6667

D(E_F): 3.208 states/eV per cell
Space-group type: No. 156
ΔE_f: -0.71 eV/atom
Size of the total moment: 0.00 μB/f.u.



[4]
Below is crystalline AcScSi2Pt5 at its relaxed geometry, with properties calculated at the GGA-PBE level.

a b c (Å): 4.2079 4.2079 10.5407
angles (deg): 90.00 90.00 90.00
Element x y z (fractional)
Pt  0.0000  0.5000  0.1712
Pt  0.5000  0.0000  0.1712
Pt  0.5000  0.0000  0.8288
Pt  0.0000  0.5000  0.8288
Pt  0.5000  0.5000  0.5000
Sc  0.0000  0.0000  0.0000
Si  0.5000  0.5000  0.7239
Si  0.5000  0.5000  0.2761
Ac  0.0000  0.0000  0.5000

D(E_F): 4.942 states/eV per cell
Space-group type: No. 123
E_form (uncorrected): -924 meV/atom
Size of the total moment: 0.00 μB/f.u.



[5]
Below is crystalline Ac2ScSiPt6 at its relaxed geometry, with properties calculated at the GGA-PBE level.

a b c (Å): 6.7983 6.6238 7.5277
angles (deg): 56.98 54.89 83.40
Element x y z (fractional)
Ac  0.2822  0.7182  0.4243
Ac  0.7178  0.2818  0.5757
Si  0.5000  0.5000  0.0000
Sc  0.0000  0.0000  0.0000
Pt  0.7357  0.2628  0.1588
Pt  0.7702  0.8124  0.5143
Pt  0.2643  0.7372  0.8412
Pt  0.2298  0.1876  0.4857
Pt  0.8134  0.7697  0.9026
Pt  0.1866  0.2303  0.0974

D(E_F): 3.668 states/eV per cell
Space-group type: No. 2
E_form (uncorrected): -922 meV/atom
Size of the total moment: 0.00 μB/f.u.



[6]
Below is crystalline AcScSnPt at its relaxed geometry, with properties calculated at the GGA-PBE level.

a b c (Å): 5.2762 5.2762 5.2762
angles (deg): 60.00 60.00 60.00
Element x y z (fractional)
Sc  0.0000  0.0000  0.0000
Ac  0.5000  0.5000  0.5000
Pt  0.7500  0.7500  0.7500
Sn  0.2500  0.2500  0.2500

D(E_F): 1.922 states/eV per cell
Space-group type: No. 216
ΔE_f: -0.63 eV/atom
Size of the total moment: 0.00 μB/f.u.



[7]
Below is crystalline AcTmScPt2 at its relaxed geometry, with properties calculated at the GGA-PBE level.

a b c (Å): 4.5781 4.5781 6.7980
angles (deg): 109.68 109.68 90.00
Element x y z (fractional)
Pt  0.6166  0.6166  0.2331
Pt  0.3834  0.3834  0.7669
Sc  0.2500  0.7500  0.5000
Tm  0.7500  0.2500  0.5000
Ac  0.0000  0.0000  0.0000

D(E_F): 5.940 states/eV per cell
Space-group type: No. 119
ΔE_f: -1.02 eV/atom
Size of the total moment: 0.00 μB/f.u.



[8]
Below is crystalline Ac2ScZn3Pt4 at its relaxed geometry, with properties calculated at the GGA-PBE level.

a b c (Å): 4.2808 4.2808 11.4921
angles (deg): 90.00 90.00 90.00
Element x y z (fractional)
Ac  0.5000  0.0000  0.2338
Ac  0.0000  0.5000  0.7662
Zn  0.5000  0.0000  0.8751
Zn  0.0000  0.0000  0.5000
Zn  0.0000  0.5000  0.1249
Pt  0.0000  0.5000  0.3528
Pt  0.0000  0.0000  0.0000
Pt  0.5000  0.0000  0.6472
Pt  0.5000  0.5000  0.0000
Sc  0.5000  0.5000  0.5000

D(E_F): 6.424 states/eV per cell
Space-group type: No. 115
ΔE_f: -0.87 eV/atom
Size of the total moment: 0.00 μB/f.u.



[9]
Below is crystalline AcScZnPt at its relaxed geometry, with properties calculated at the GGA-PBE level.

a b c (Å): 5.1189 5.1189 5.1189
angles (deg): 60.00 60.00 60.00
Element x y z (fractional)
Sc  0.0000  0.0000  0.0000
Pt  0.2500  0.2500  0.2500
Ac  0.5000  0.5000  0.5000
Zn  0.7500  0.7500  0.7500

D(E_F): 3.772 states/eV per cell
Space-group type: No. 216
ΔE_f: -0.54 eV/atom
Size of the total moment: 0.00 μB/f.u.



[10]
Below is crystalline AcZrScPt2 at its relaxed geometry, with properties calculated at the GGA-PBE level.

a b c (Å): 4.6245 4.6245 6.5183
angles (deg): 110.78 110.78 90.00
Element x y z (fractional)
Sc  0.7500  0.2500  0.5000
Zr  0.2500  0.7500  0.5000
Pt  0.6220  0.6220  0.2441
Pt  0.3780  0.3780  0.7559
Ac  0.0000  0.0000  0.0000

D(E_F): 5.044 states/eV per cell
Space-group type: No. 119
ΔE_f: -0.97 eV/atom
Size of the total moment: 0.00 μB/f.u.



[11]
Below is crystalline Ac8Pt6Se at its relaxed geometry, with properties calculated at the GGA-PBE level.

a b c (Å): 4.7595 10.9276 10.9277
angles (deg): 120.00 90.00 90.00
Element x y z (fractional)
Ac  0.7464  0.3333  0.6667
Ac  0.7388  0.3297  0.0291
Ac  0.7388  0.9709  0.3006
Ac  0.2612  0.0291  0.6994
Ac  0.2536  0.6667  0.3333
Ac  0.2612  0.6703  0.9709
Ac  0.2612  0.3006  0.3297
Ac  0.7388  0.6994  0.6703
Pt  0.7564  0.8616  0.5177
Pt  0.2436  0.5177  0.6560
Pt  0.2436  0.1384  0.4823
Pt  0.7564  0.4823  0.3440
Pt  0.7564  0.6560  0.1384
Pt  0.2436  0.3440  0.8616
Se  0.5000  0.0000  0.0000

D(E_F): 11.156 states/eV per cell
Space-group type: No. 147
E_form (uncorrected): -1043 meV/atom
Size of the total moment: 0.00 μB/f.u.



[12]
Below is crystalline Ac4Pt3Se at its relaxed geometry, with properties calculated at the GGA-PBE level.

a b c (Å): 4.3956 4.3956 29.8347
angles (deg): 90.00 90.00 120.00
Element x y z (fractional)
Pt  0.6667  0.3333  0.1214
Pt  0.3333  0.6667  0.6214
Pt  0.3333  0.6667  0.8786
Pt  0.0000  0.0000  0.0000
Pt  0.6667  0.3333  0.3786
Pt  0.0000  0.0000  0.5000
Ac  0.0000  0.0000  0.8222
Ac  0.3333  0.6667  0.0594
Ac  0.0000  0.0000  0.3222
Ac  0.3333  0.6667  0.4406
Ac  0.0000  0.0000  0.6778
Ac  0.6667  0.3333  0.9406
Ac  0.0000  0.0000  0.1778
Ac  0.6667  0.3333  0.5594
Se  0.6667  0.3333  0.7500
Se  0.3333  0.6667  0.2500

D(E_F): 3.546 states/eV per cell
Space-group type: No. 194
E_form (uncorrected): -1343 meV/atom
Size of the total moment: 0.00 μB/f.u.



[13]
Below is crystalline Ac2PtSe at its relaxed geometry, with properties calculated at the GGA-PBE level.

a b c (Å): 4.3726 6.3184 9.2810
angles (deg): 90.00 90.00 90.00
Element x y z (fractional)
Ac  0.0000  0.0000  0.8517
Ac  0.5000  0.5000  0.1483
Ac  0.0000  0.0000  0.3899
Ac  0.5000  0.5000  0.6101
Pt  0.0000  0.5000  0.3769
Pt  0.5000  0.0000  0.6231
Se  0.5000  0.0000  0.1079
Se  0.0000  0.5000  0.8921

D(E_F): 5.426 states/eV per cell
Space-group type: No. 59
E_form (uncorrected): -1506 meV/atom
Size of the total moment: 0.00 μB/f.u.



Number 1: total energy -6.540 eV/atom. Number 2: total energy -6.790 eV/atom. Number 3: total energy -6.203 eV/atom. Number 4: total energy -6.646 eV/atom. Number 5: total energy -6.544 eV/atom. Number 6: total energy -5.753 eV/atom. Number 7: total energy -6.422 eV/atom. Number 8: total energy -5.119 eV/atom. Number 9: total energy -4.982 eV/atom. Number 10: total energy -7.184 eV/atom. Number 11: total energy -5.882 eV/atom. Number 12: total energy -6.098 eV/atom. Number 13: total energy -5.942 eV/atom.